DFT (PBE-GGA) results for a geometry-optimized AlTlGa2Te6 structure.

Cell: 10.252 10.252 8.700 Å, 111.32 111.32 89.80°
Sites, in units of the cell vectors:
Al1 0.164 0.836 0.750
Al2 0.836 0.164 0.250
Tl1 0.142 0.858 0.250
Tl2 0.858 0.142 0.750
Ga1 0.235 0.409 0.429
Ga2 0.409 0.235 0.929
Ga3 0.591 0.765 0.071
Ga4 0.765 0.591 0.571
Te1 0.073 0.172 0.185
Te2 0.109 0.629 0.438
Te3 0.172 0.073 0.685
Te4 0.335 0.440 0.164
Te5 0.371 0.891 0.062
Te6 0.440 0.335 0.664
Te7 0.560 0.665 0.336
Te8 0.629 0.109 0.938
Te9 0.665 0.560 0.836
Te10 0.828 0.927 0.315
Te11 0.891 0.371 0.562
Te12 0.927 0.828 0.815

uncorrected formation energy	-0.234	eV/atom
E_tot	-0.2451	Ry/atom
magnetization	0.0	μB per formula unit
space-group type	C2/c
crystal system	monoclinic